1.
{"formula": "Cd12Bi5P3", "functional": "PBE", "state": "optimized geometry", "cell": [[-12.162, 7.752, -1.997], [-1.849, -13.402, -5.380], [2.933, -0.847, 14.236]], "species": ["Cd", "Cd", "Cd", "Cd", "Cd", "Cd", "Cd", "Cd", "Cd", "Cd", "Cd", "Cd", "Cd", "Cd", "Cd", "Cd", "Cd", "Cd", "Cd", "Cd", "Cd", "Cd", "Cd", "Cd", "Cd", "Cd", "Cd", "Cd", "Cd", "Cd", "Cd", "Cd", "Cd", "Cd", "Cd", "Cd", "Cd", "Cd", "Cd", "Cd", "Cd", "Cd", "Cd", "Cd", "Cd", "Cd", "Cd", "Cd", "P", "P", "P", "P", "P", "P", "P", "P", "P", "P", "P", "P", "Bi", "Bi", "Bi", "Bi", "Bi", "Bi", "Bi", "Bi", "Bi", "Bi", "Bi", "Bi", "Bi", "Bi", "Bi", "Bi", "Bi", "Bi", "Bi", "Bi"], "fractional_positions": [[0.571, 0.246, 0.129], [0.675, 0.429, 0.558], [0.254, 0.383, 0.825], [0.371, 0.442, 0.117], [0.429, 0.675, 0.058], [0.246, 0.571, 0.629], [0.371, 0.929, 0.754], [0.071, 0.629, 0.746], [0.058, 0.175, 0.429], [0.754, 0.429, 0.371], [0.325, 0.571, 0.442], [0.617, 0.746, 0.675], [0.942, 0.825, 0.571], [0.629, 0.558, 0.883], [0.129, 0.746, 0.571], [0.325, 0.754, 0.383], [0.617, 0.871, 0.442], [0.429, 0.754, 0.871], [0.825, 0.883, 0.254], [0.929, 0.558, 0.175], [0.117, 0.942, 0.371], [0.825, 0.942, 0.071], [0.254, 0.871, 0.929], [0.442, 0.371, 0.617], [0.883, 0.825, 0.754], [0.246, 0.675, 0.117], [0.129, 0.383, 0.058], [0.883, 0.058, 0.629], [0.754, 0.325, 0.883], [0.929, 0.371, 0.254], [0.629, 0.071, 0.246], [0.071, 0.442, 0.825], [0.942, 0.117, 0.871], [0.175, 0.117, 0.746], [0.558, 0.929, 0.675], [0.675, 0.246, 0.617], [0.175, 0.058, 0.929], [0.442, 0.071, 0.325], [0.383, 0.129, 0.558], [0.871, 0.254, 0.429], [0.571, 0.325, 0.942], [0.058, 0.883, 0.129], [0.383, 0.254, 0.325], [0.746, 0.617, 0.175], [0.117, 0.175, 0.246], [0.558, 0.629, 0.383], [0.871, 0.617, 0.942], [0.746, 0.129, 0.071], [0.125, 0.875, 0.750], [0.125, 0.250, 0.875], [0.750, 0.875, 0.625], [0.375, 0.750, 0.625], [0.625, 0.250, 0.375], [0.875, 0.750, 0.125], [0.875, 0.125, 0.250], [0.250, 0.625, 0.875], [0.375, 0.625, 0.250], [0.625, 0.375, 0.750], [0.250, 0.125, 0.375], [0.750, 0.375, 0.125], [0.750, 0.125, 0.875], [0.500, 0.500, 0.500], [0.375, 0.125, 0.750], [0.250, 0.375, 0.625], [0.750, 0.625, 0.375], [0.875, 0.250, 0.625], [0.000, 0.000, 0.500], [0.000, 0.500, 0.500], [0.500, 0.000, 0.500], [0.250, 0.875, 0.125], [0.625, 0.875, 0.250], [0.875, 0.625, 0.750], [0.000, 0.000, 0.000], [0.625, 0.750, 0.875], [0.125, 0.750, 0.375], [0.500, 0.500, 0.000], [0.375, 0.250, 0.125], [0.000, 0.500, 0.000], [0.125, 0.375, 0.250], [0.500, 0.000, 0.000]], "e_form_ev_per_atom": 0.170, "magmom_total_mub_per_fu": 0.00, "dos_at_fermi_per_ev_cell": 21.26}


2.
{"formula": "Ce2Y3ThN6", "functional": "PBE", "state": "optimized geometry", "cell": [[6.140, 0.000, 0.000], [-3.069, 5.318, 0.000], [-1.024, -1.773, 5.785]], "species": ["Th", "N", "N", "N", "N", "N", "N", "Ce", "Ce", "Y", "Y", "Y"], "fractional_positions": [[0.000, 0.000, 0.000], [0.084, 0.418, 0.252], [0.582, 0.916, 0.748], [0.418, 0.084, 0.252], [0.916, 0.582, 0.748], [0.749, 0.749, 0.252], [0.251, 0.251, 0.748], [0.666, 0.334, 0.000], [0.334, 0.666, 0.000], [0.500, 0.500, 0.500], [0.168, 0.832, 0.500], [0.832, 0.168, 0.500]], "magmom_total_mub_per_fu": 0.57, "dos_at_fermi_per_ev_cell": 6.32, "e_form_raw_kj_per_mol_fu": -1859}


3.
{"formula": "CaTbHo2", "functional": "PBE", "state": "optimized geometry", "cell": [[3.433, 0.000, -0.562], [0.002, 6.414, 0.014], [0.210, 0.820, 12.062]], "species": ["Ho", "Ho", "Ho", "Ho", "Ca", "Ca", "Tb", "Tb"], "fractional_positions": [[0.873, 0.038, 0.745], [0.635, 0.454, 0.271], [0.127, 0.962, 0.255], [0.365, 0.546, 0.729], [0.501, 0.751, 0.003], [0.499, 0.249, 0.997], [0.252, 0.248, 0.503], [0.748, 0.752, 0.497]], "e_form_ev_per_atom": 0.126, "magmom_total_mub_per_fu": 0.00, "dos_at_fermi_per_ev_cell": 11.74, "e_above_lowest_polymorph_mev_per_atom": 61}


4.
{"formula": "ZnTeCl2", "functional": "PBE", "state": "optimized geometry", "cell": [[3.374, 0.000, 0.000], [0.000, 6.022, 0.000], [0.000, 0.000, 4.517]], "species": ["Te", "Zn", "Cl", "Cl"], "fractional_positions": [[0.500, 0.000, 0.500], [0.000, 0.500, 0.500], [0.000, 0.000, 0.000], [0.500, 0.500, 0.000]], "magmom_total_mub_per_fu": 0.00, "dos_at_fermi_per_ev_cell": 1.02, "e_above_lowest_polymorph_mev_per_atom": 541, "e_form_raw_kj_per_mol_fu": -32}


5.
{"formula": "As2IrPt", "functional": "PBE", "state": "optimized geometry", "cell": [[5.633, 0.000, 0.000], [0.000, 5.633, 0.000], [2.816, 2.816, 5.460]], "species": ["As", "As", "As", "As", "Pt", "Pt", "Ir", "Ir"], "fractional_positions": [[0.375, 0.384, 0.750], [0.616, 0.125, 0.250], [0.134, 0.625, 0.250], [0.875, 0.866, 0.750], [0.750, 0.250, 0.500], [0.000, 0.000, 0.000], [0.250, 0.750, 0.500], [0.500, 0.500, 0.000]], "e_form_ev_per_atom": -0.085, "magmom_total_mub_per_fu": 0.00, "dos_at_fermi_per_ev_cell": 4.59, "e_above_lowest_polymorph_mev_per_atom": 0}


6.
{"formula": "Mg2BiOF", "functional": "PBE", "state": "optimized geometry", "cell": [[-2.850, -1.352, 4.538], [-2.531, -2.637, -2.375], [3.482, -4.188, 0.940]], "species": ["O", "Mg", "Mg", "Bi", "F"], "fractional_positions": [[0.000, 0.500, 0.000], [0.000, 0.000, 0.500], [0.500, 0.000, 0.000], [0.000, 0.000, 0.000], [0.500, 0.500, 0.500]], "magmom_total_mub_per_fu": 0.00, "dos_at_fermi_per_ev_cell": 0.52, "e_form_raw_kj_per_mol_fu": -209}


7.
{"formula": "NaAc2Cu", "functional": "PBE", "state": "optimized geometry", "cell": [[-1.919, 0.118, -3.328], [-3.183, -1.194, 1.793], [-2.380, 8.885, 1.689]], "species": ["Cu", "Ac", "Ac", "Na"], "fractional_positions": [[0.500, 0.500, 0.000], [0.000, 0.000, 0.808], [0.000, 0.000, 0.192], [0.500, 0.500, 0.500]], "e_form_ev_per_atom": 0.047, "magmom_total_mub_per_fu": 0.00, "dos_at_fermi_per_ev_cell": 4.69, "e_above_lowest_polymorph_mev_per_atom": 0}


8.
{"formula": "Li2Ac2Sn3", "functional": "PBE", "state": "optimized geometry", "cell": [[4.819, 0.000, -1.149], [0.000, 7.646, 0.000], [0.003, 0.000, 10.691]], "species": ["Ac", "Ac", "Ac", "Ac", "Li", "Li", "Li", "Li", "Sn", "Sn", "Sn", "Sn", "Sn", "Sn"], "fractional_positions": [[0.840, 0.750, 0.679], [0.950, 0.250, 0.900], [0.160, 0.250, 0.321], [0.050, 0.750, 0.100], [0.692, 0.935, 0.385], [0.692, 0.565, 0.385], [0.308, 0.065, 0.615], [0.308, 0.435, 0.615], [0.434, 0.560, 0.868], [0.566, 0.440, 0.132], [0.220, 0.750, 0.439], [0.434, 0.940, 0.868], [0.780, 0.250, 0.561], [0.566, 0.060, 0.132]], "e_form_ev_per_atom": -0.655, "magmom_total_mub_per_fu": 0.00, "dos_at_fermi_per_ev_cell": 2.68, "e_above_lowest_polymorph_mev_per_atom": 0}


9.
{"formula": "Ag3SI", "functional": "PBE", "state": "optimized geometry", "cell": [[7.384, 0.004, 0.008], [3.695, 6.393, 0.001], [3.695, -2.126, 5.441]], "species": ["I", "I", "S", "S", "Ag", "Ag", "Ag", "Ag", "Ag", "Ag"], "fractional_positions": [[0.469, 0.720, 0.106], [0.957, 0.476, 0.374], [0.428, 0.240, 0.667], [0.999, 0.956, 0.812], [0.410, 0.500, 0.444], [0.910, 0.000, 0.444], [0.017, 0.697, 0.035], [0.411, 0.999, 0.443], [0.516, 0.197, 0.035], [0.016, 0.197, 0.036]], "magmom_total_mub_per_fu": 0.00, "e_form_raw_kj_per_mol_fu": -21}


10.
{"formula": "Tb2NdRh", "functional": "PBE", "state": "optimized geometry", "cell": [[3.522, 0.000, 0.000], [0.000, 3.522, 0.000], [0.000, 0.000, 8.775]], "species": ["Tb", "Tb", "Rh", "Nd"], "fractional_positions": [[0.000, 0.000, 0.186], [0.000, 0.000, 0.814], [0.500, 0.500, 0.000], [0.500, 0.500, 0.500]], "e_form_ev_per_atom": -0.400, "magmom_total_mub_per_fu": 0.00, "dos_at_fermi_per_ev_cell": 4.54, "e_above_lowest_polymorph_mev_per_atom": 86}


11.
{"formula": "Ca5TlPd6", "functional": "PBE", "state": "optimized geometry", "cell": [[4.791, -0.003, -1.342], [-3.583, 6.892, -3.590], [-0.203, -1.022, 8.494]], "species": ["Ca", "Ca", "Ca", "Ca", "Ca", "Pd", "Pd", "Pd", "Pd", "Pd", "Pd", "Tl"], "fractional_positions": [[0.500, 0.500, 0.500], [0.500, 0.160, 0.840], [0.000, 0.670, 0.330], [0.500, 0.840, 0.160], [0.000, 0.330, 0.670], [0.752, 0.915, 0.588], [0.244, 0.745, 0.745], [0.756, 0.255, 0.255], [0.248, 0.412, 0.085], [0.248, 0.085, 0.412], [0.752, 0.588, 0.915], [0.000, 0.000, 0.000]], "e_form_ev_per_atom": -0.602, "magmom_total_mub_per_fu": 0.00, "dos_at_fermi_per_ev_cell": 4.59}


12.
{"formula": "SrLiY", "functional": "PBE", "state": "optimized geometry", "cell": [[3.743, 0.000, 0.000], [-1.871, 3.241, 0.000], [0.000, 0.000, 8.758]], "species": ["Sr", "Y", "Li"], "fractional_positions": [[0.333, 0.667, 0.325], [0.667, 0.333, 0.691], [0.000, 0.000, 0.984]], "e_form_ev_per_atom": 0.237, "magmom_total_mub_per_fu": 0.00, "dos_at_fermi_per_ev_cell": 3.89, "e_above_lowest_polymorph_mev_per_atom": 68}